# RbAc4Tl5 | Alexandria via LeMat-Bulk | GGA-PBE | relaxed
data_RbAc4Tl5
_chemical_formula_sum 'Rb1 Ac4 Tl5'
_cell_length_a 4.172
_cell_length_b 4.172
_cell_length_c 21.381
_cell_angle_alpha 90.00
_cell_angle_beta 90.00
_cell_angle_gamma 90.00
_space_group_name_H-M_alt 'P 4/m m m'
_space_group_IT_number 123
_space_group_name_Hall '-P 4 2'
loop_
_atom_site_label
_atom_site_type_symbol
_atom_site_fract_x
_atom_site_fract_y
_atom_site_fract_z
Rb1 Rb 0.000 0.000 0.000
Ac1 Ac 0.000 0.000 0.212
Ac2 Ac 0.000 0.000 0.404
Tl1 Tl 0.500 0.500 0.125
Tl2 Tl 0.500 0.500 0.309
Tl3 Tl 0.500 0.500 0.500
# * total energy: -3.211 eV/atom
# * ΔH_f (0 K): -0.288 eV/atom



# RbAcTl2 | Alexandria via LeMat-Bulk | GGA-PBE | relaxed
data_RbAcTl2
_chemical_formula_sum 'Rb4 Ac4 Tl8'
_cell_length_a 8.449
_cell_length_b 8.449
_cell_length_c 8.449
_cell_angle_alpha 90.00
_cell_angle_beta 90.00
_cell_angle_gamma 90.00
_space_group_name_H-M_alt 'F m -3 m'
_space_group_IT_number 225
_space_group_name_Hall '-F 4 2 3'
loop_
_atom_site_label
_atom_site_type_symbol
_atom_site_fract_x
_atom_site_fract_y
_atom_site_fract_z
Rb1 Rb 0.000 0.000 0.000
Ac1 Ac 0.000 0.000 0.500
Tl1 Tl 0.250 0.250 0.250
# * energy above the lowest structure with this stoichiometry: 102 meV per atom
# * total energy: -2.546 eV/atom
# * ΔH_f (0 K): -0.094 eV/atom



# RbAcTl | Alexandria via LeMat-Bulk | GGA-PBE | relaxed
data_RbAcTl
_chemical_formula_sum 'Rb8 Ac8 Tl8'
_cell_length_a 7.954
_cell_length_b 9.054
_cell_length_c 16.902
_cell_angle_alpha 90.00
_cell_angle_beta 90.00
_cell_angle_gamma 90.00
_space_group_name_H-M_alt 'F m m m'
_space_group_IT_number 69
_space_group_name_Hall '-F 2 2'
loop_
_atom_site_label
_atom_site_type_symbol
_atom_site_fract_x
_atom_site_fract_y
_atom_site_fract_z
Rb1 Rb 0.000 0.208 0.000
Ac1 Ac 0.250 0.250 0.250
Tl1 Tl 0.000 0.000 0.345
# * energy above the lowest structure with this stoichiometry: 65 meV per atom
# * total energy: -2.415 eV/atom
# * ΔH_f (0 K): 0.066 eV/atom



# RbAcTl2 | Alexandria via LeMat-Bulk | GGA-PBE | relaxed
data_RbAcTl2
_chemical_formula_sum 'Rb3 Ac3 Tl6'
_cell_length_a 4.1461
_cell_length_b 4.1461
_cell_length_c 33.4781
_cell_angle_alpha 90.00
_cell_angle_beta 90.00
_cell_angle_gamma 120.00
_space_group_name_H-M_alt 'R -3 m'
_space_group_IT_number 166
_space_group_name_Hall '-R 3 2"'
loop_
_atom_site_label
_atom_site_type_symbol
_atom_site_fract_x
_atom_site_fract_y
_atom_site_fract_z
Rb1 Rb 0.0000 0.0000 0.0000
Ac1 Ac 0.0000 0.0000 0.5000
Tl1 Tl 0.0000 0.0000 0.2440
# * energy above the lowest structure with this stoichiometry: 156 meV per atom
# * total energy: -2.493 eV/atom
# * ΔH_f (0 K): -0.041 eV/atom



# RbAcTl2 | Alexandria via LeMat-Bulk | GGA-PBE | relaxed
data_RbAcTl2
_chemical_formula_sum 'Rb1 Ac1 Tl2'
_cell_length_a 4.173
_cell_length_b 4.173
_cell_length_c 9.143
_cell_angle_alpha 90.00
_cell_angle_beta 90.00
_cell_angle_gamma 90.00
_space_group_name_H-M_alt 'P 4/m m m'
_space_group_IT_number 123
_space_group_name_Hall '-P 4 2'
loop_
_atom_site_label
_atom_site_type_symbol
_atom_site_fract_x
_atom_site_fract_y
_atom_site_fract_z
Rb1 Rb 0.000 0.000 0.000
Ac1 Ac 0.000 0.000 0.500
Tl1 Tl 0.500 0.500 0.289
# * energy above the lowest structure with this stoichiometry: 0 meV per atom
# * total energy: -2.648 eV/atom
# * ΔH_f (0 K): -0.196 eV/atom



# RbAcTl4 | Alexandria via LeMat-Bulk | GGA-PBE | relaxed
data_RbAcTl4
_chemical_formula_sum 'Rb4 Ac4 Tl16'
_cell_length_a 9.339
_cell_length_b 9.339
_cell_length_c 9.339
_cell_angle_alpha 90.00
_cell_angle_beta 90.00
_cell_angle_gamma 90.00
_space_group_name_H-M_alt 'F -4 3 m'
_space_group_IT_number 216
_space_group_name_Hall 'F -4 2 3'
loop_
_atom_site_label
_atom_site_type_symbol
_atom_site_fract_x
_atom_site_fract_y
_atom_site_fract_z
Rb1 Rb 0.000 0.000 0.000
Ac1 Ac 0.250 0.250 0.750
Tl1 Tl 0.125 0.125 0.375
# * total energy: -2.520 eV/atom
# * ΔH_f (0 K): -0.096 eV/atom



# RbAcTl6 | Alexandria via LeMat-Bulk | GGA-PBE | relaxed
data_RbAcTl6
_chemical_formula_sum 'Rb1 Ac1 Tl6'
_cell_length_a 5.523
_cell_length_b 7.280
_cell_length_c 6.671
_cell_angle_alpha 90.00
_cell_angle_beta 90.00
_cell_angle_gamma 90.00
_space_group_name_H-M_alt 'P m m 2'
_space_group_IT_number 25
loop_
_space_group_symop_operation_xyz
'x,y,z'
'-x,-y,z'
'-x,y,z'
'x,-y,z'
loop_
_atom_site_label
_atom_site_type_symbol
_atom_site_fract_x
_atom_site_fract_y
_atom_site_fract_z
Rb1 Rb 0.000 0.000 0.000
Ac1 Ac 0.500 0.500 0.268
Tl1 Tl 0.000 0.264 0.480
Tl2 Tl 0.000 0.500 0.916
Tl3 Tl 0.500 0.000 0.370
Tl4 Tl 0.500 0.262 0.783
# * total energy: -2.540 eV/atom
# * ΔH_f (0 K): -0.131 eV/atom



# RbAcTl | Alexandria via LeMat-Bulk | GGA-PBE | relaxed
data_RbAcTl
_chemical_formula_sum 'Rb2 Ac2 Tl2'
_cell_length_a 4.246
_cell_length_b 4.246
_cell_length_c 16.027
_cell_angle_alpha 90.00
_cell_angle_beta 90.00
_cell_angle_gamma 90.00
_space_group_name_H-M_alt 'I 4 m m'
_space_group_IT_number 107
_space_group_name_Hall 'I 4 -2'
loop_
_atom_site_label
_atom_site_type_symbol
_atom_site_fract_x
_atom_site_fract_y
_atom_site_fract_z
Rb1 Rb 0.000 0.000 0.000
Ac1 Ac 0.000 0.000 0.265
Tl1 Tl 0.000 0.000 0.663
# * energy above the lowest structure with this stoichiometry: 0 meV per atom
# * total energy: -2.480 eV/atom
# * ΔH_f (0 K): 0.001 eV/atom



# RbAc2Tl | Alexandria via LeMat-Bulk | GGA-PBE | relaxed
data_RbAc2Tl
_chemical_formula_sum 'Rb3 Ac6 Tl3'
_cell_length_a 4.1098
_cell_length_b 4.1098
_cell_length_c 40.6071
_cell_angle_alpha 90.00
_cell_angle_beta 90.00
_cell_angle_gamma 120.00
_space_group_name_H-M_alt 'R -3 m'
_space_group_IT_number 166
_space_group_name_Hall '-R 3 2"'
loop_
_atom_site_label
_atom_site_type_symbol
_atom_site_fract_x
_atom_site_fract_y
_atom_site_fract_z
Rb1 Rb 0.0000 0.0000 0.0000
Ac1 Ac 0.0000 0.0000 0.1051
Tl1 Tl 0.0000 0.0000 0.5000
# * total energy: -2.803 eV/atom
# * ΔH_f (0 K): 0.085 eV/atom



# RbAc2Y | Alexandria via LeMat-Bulk | GGA-PBE | relaxed
data_RbAc2Y
_chemical_formula_sum 'Rb3 Ac6 Y3'
_cell_length_a 3.9187
_cell_length_b 3.9187
_cell_length_c 42.2713
_cell_angle_alpha 90.00
_cell_angle_beta 90.00
_cell_angle_gamma 120.00
_space_group_name_H-M_alt 'R -3 m'
_space_group_IT_number 166
_space_group_name_Hall '-R 3 2"'
loop_
_atom_site_label
_atom_site_type_symbol
_atom_site_fract_x
_atom_site_fract_y
_atom_site_fract_z
Rb1 Rb 0.0000 0.0000 0.0000
Ac1 Ac 0.0000 0.0000 0.0968
Y1 Y 0.0000 0.0000 0.5000
# * total energy: -3.718 eV/atom
# * ΔH_f (0 K): 0.194 eV/atom



# AcRe4 | Alexandria via LeMat-Bulk | GGA-PBE | relaxed
data_AcRe4
_chemical_formula_sum 'Ac1 Re4'
_cell_length_a 4.892
_cell_length_b 4.892
_cell_length_c 4.892
_cell_angle_alpha 90.00
_cell_angle_beta 90.00
_cell_angle_gamma 90.00
_space_group_name_H-M_alt 'P m -3 m'
_space_group_IT_number 221
_space_group_name_Hall '-P 4 2 3'
loop_
_atom_site_label
_atom_site_type_symbol
_atom_site_fract_x
_atom_site_fract_y
_atom_site_fract_z
Ac1 Ac 0.000 0.000 0.000
Re1 Re 0.000 0.000 0.500
Re2 Re 0.500 0.500 0.500
# * total energy: -6.820 eV/atom
# * ΔH_f (0 K): 3.960 eV/atom



# AcReSi2Ru | Alexandria via LeMat-Bulk | GGA-PBE | relaxed
data_AcReSi2Ru
_chemical_formula_sum 'Ac2 Re2 Si4 Ru2'
_cell_length_a 4.335
_cell_length_b 4.335
_cell_length_c 10.256
_cell_angle_alpha 90.00
_cell_angle_beta 90.00
_cell_angle_gamma 90.00
_space_group_name_H-M_alt 'I -4 m 2'
_space_group_IT_number 119
_space_group_name_Hall 'I -4 -2'
loop_
_atom_site_label
_atom_site_type_symbol
_atom_site_fract_x
_atom_site_fract_y
_atom_site_fract_z
Ac1 Ac 0.000 0.000 0.000
Re1 Re 0.000 0.500 0.250
Si1 Si 0.000 0.000 0.356
Ru1 Ru 0.000 0.500 0.750
# * energy relative to the elements, uncorrected: -575 meV per atom
# * total energy: -7.911 eV/atom



- Among the records above, which one has the highest total energy?
  number 3



- The lowest total energy belongs to which entry?
  AcReSi2Ru



- Among the records above, which one has the highest total energy?
  number 3



- Look up the total energy of the second one.
  -2.546 eV/atom